[1]
{"formula": "KNpO3", "functional": "SCAN", "state": "PBEsol geometry", "lattice_angstrom": [[4.2452, 0.0000, 0.0000], [0.0000, 4.2452, 0.0000], [0.0000, 0.0000, 4.2452]], "species": ["K", "Np", "O", "O", "O"], "fractional_positions": [[0.0000, 0.0000, 0.0000], [0.5000, 0.5000, 0.5000], [0.0000, 0.5000, 0.5000], [0.5000, 0.0000, 0.5000], [0.5000, 0.5000, 0.0000]], "formation_energy_uncorrected_mev_per_atom": -2843, "dft_energy_ev_per_atom": -29.649, "spacegroup": "Pm-3m, No. 221", "dos_at_fermi_per_ev_cell": 4.1}



[2]
{"formula": "KO3", "functional": "SCAN", "state": "PBEsol geometry", "lattice_angstrom": [[-4.3121, 4.3121, 3.5198], [4.3121, -4.3121, 3.5198], [4.3121, 4.3121, -3.5198]], "species": ["K", "K", "K", "K", "O", "O", "O", "O", "O", "O", "O", "O", "O", "O", "O", "O"], "fractional_positions": [[0.2500, 0.2500, 0.0000], [0.2500, 0.7500, 0.5000], [0.7500, 0.2500, 0.5000], [0.7500, 0.7500, 0.0000], [0.0649, 0.7505, 0.8154], [0.2195, 0.7195, 0.9389], [0.2495, 0.0649, 0.3145], [0.2505, 0.5649, 0.8154], [0.2805, 0.2195, 0.5000], [0.4351, 0.2505, 0.6855], [0.5649, 0.7495, 0.3145], [0.7195, 0.7805, 0.5000], [0.7495, 0.4351, 0.1846], [0.7505, 0.9351, 0.6855], [0.7805, 0.2805, 0.0611], [0.9351, 0.2495, 0.1846]], "formation_energy_uncorrected_mev_per_atom": -695, "dft_energy_ev_per_atom": -7.450, "spacegroup": "I4/mcm, No. 140"}



[3]
{"formula": "K2O", "functional": "SCAN", "state": "PBEsol geometry", "lattice_angstrom": [[-2.5597, 2.5597, 6.5780], [2.5597, -2.5597, 6.5780], [2.5597, 2.5597, -6.5780]], "species": ["K", "K", "K", "K", "O", "O"], "fractional_positions": [[0.0739, 0.3239, 0.7500], [0.3239, 0.0739, 0.2500], [0.6761, 0.9261, 0.7500], [0.9261, 0.6761, 0.2500], [0.1250, 0.8750, 0.2500], [0.8750, 0.1250, 0.7500]], "formation_energy_uncorrected_mev_per_atom": -1109, "dft_energy_ev_per_atom": -8.738, "spacegroup": "I4_1/amd, No. 141"}